Compound: LaTiAs2Br
Source: Alexandria
Functional: GGA-PBE
Structure: optimized geometry

Output
Its energy above the lowest structure with this stoichiometry is 1.160 eV per atom. The calculation puts the total energy at -22.11 eV per cell. The calculation puts the density of states at the Fermi level at 5.11 states/eV/cell. The uncorrected formation energy comes out at 337 meV per atom.

Cell lengths 5.684, 5.684, 5.641 Å; angles 90.00, 90.00, 90.00 degrees
Site moments in Bohr magnetons follow the coordinates.
Atoms (fractional coordinates):
La 0.000 0.000 0.000  0.03
As 0.500 0.000 0.000  0.18
As 0.000 0.500 0.000  0.18
Ti 0.500 0.500 0.500  -1.96
Br 0.000 0.000 0.500  0.03

Compound: LaPrAg
Source: Alexandria
Functional: GGA-PBE
Structure: optimized geometry

Output
Its energy above the lowest structure with this stoichiometry is 0.005 eV per atom. For the formation energy, the calculation gives -0.14 eV per atom. The calculation puts the total energy at -12.99 eV per cell. The calculation puts the density of states at the Fermi level at 4.31 states/eV/cell.

Cell lengths 3.808, 3.808, 6.920 Å; angles 105.97, 105.97, 90.00 degrees
Site moments in Bohr magnetons follow the coordinates.
Atoms (fractional coordinates):
Pr 0.313 0.313 0.626  0.16
Ag 0.669 0.669 0.338  0.01
La 0.018 0.018 0.035  0.15

Compound: Be2ZnW
Source: Alexandria
Functional: GGA-PBE
Structure: optimized geometry

Output
For the formation energy, the calculation gives 0.35 eV per atom. The calculation puts the total energy at -20.27 eV per cell. The calculation puts the density of states at the Fermi level at 1.94 states/eV/cell.

Cell lengths 8.311, 8.311, 8.311 Å; angles 18.70, 18.70, 18.70 degrees
Atoms (fractional coordinates):
Be 0.501 0.501 0.501
Be 0.999 0.999 0.999
W 0.250 0.250 0.250
Zn 0.750 0.750 0.750

Compound: MnNi2Mo
Source: Alexandria
Functional: GGA-PBE
Structure: optimized geometry

Output
Its energy above the lowest structure with this stoichiometry is 0.039 eV per atom. For the formation energy, the calculation gives 0.00 eV per atom. The calculation puts the total energy at -31.56 eV per cell. The calculation puts the density of states at the Fermi level at 3.64 states/eV/cell.

Cell lengths 3.751, 2.609, 5.719 Å; angles 62.80, 90.00, 90.00 degrees
Site moments in Bohr magnetons follow the coordinates.
Atoms (fractional coordinates):
Ni 0.000 0.504 0.495  0.25
Ni 0.000 0.996 0.005  0.25
Mn 0.500 0.250 0.250  2.62
Mo 0.500 0.750 0.750  -0.30

Compound: YPW2
Source: Alexandria
Functional: GGA-PBE
Structure: optimized geometry

Output
For the formation energy, the calculation gives 0.15 eV per atom. The calculation puts the total energy at -37.18 eV per cell. The calculation puts the density of states at the Fermi level at 3.50 states/eV/cell.

Cell lengths 5.821, 5.821, 5.821 Å; angles 151.29, 130.82, 57.95 degrees
Atoms (fractional coordinates):
W 0.202 0.202 0.000
W 0.798 0.798 0.000
Y 0.500 0.000 0.500
P 0.000 0.500 0.500

Compound: Cs7Rb5Au6
Source: Alexandria
Functional: GGA-PBE
Structure: optimized geometry

Output
For the formation energy, the calculation gives -0.19 eV per atom. The calculation puts the total energy at -33.92 eV per cell. The calculation puts the density of states at the Fermi level at 16.58 states/eV/cell.

Cell lengths 8.599, 8.599, 15.432 Å; angles 90.00, 90.00, 91.35 degrees
Atoms (fractional coordinates):
Rb 0.701 0.701 0.837
Rb 0.296 0.296 0.833
Rb 0.296 0.296 0.167
Rb 0.701 0.701 0.163
Rb 0.301 0.301 0.500
Cs 0.203 0.791 0.000
Cs 0.798 0.207 0.669
Cs 0.207 0.798 0.669
Cs 0.207 0.798 0.331
Cs 0.791 0.203 0.000
Cs 0.703 0.703 0.500
Cs 0.798 0.207 0.331
Au 0.495 0.495 0.000
Au 0.999 0.999 0.165
Au 0.999 0.999 0.835
Au 0.499 0.499 0.330
Au 0.499 0.499 0.670
Au 0.007 0.007 0.500

Compound: Sr6AsPt2Br3
Source: Alexandria
Functional: GGA-PBE
Structure: optimized geometry

Output
The calculation puts the total energy at -47.76 eV per cell. The calculation puts the density of states at the Fermi level at 6.24 states/eV/cell. The uncorrected formation energy comes out at -1327 meV per atom.

Cell lengths 7.693, 7.693, 8.163 Å; angles 99.12, 99.12, 120.00 degrees
Atoms (fractional coordinates):
Sr 0.071 0.409 0.212
Sr 0.591 0.929 0.788
Sr 0.929 0.591 0.788
Sr 0.734 0.734 0.213
Sr 0.266 0.266 0.787
Sr 0.409 0.071 0.212
Pt 0.333 0.667 0.000
Pt 0.667 0.333 0.000
Br 0.836 0.164 0.500
Br 0.500 0.500 0.500
Br 0.164 0.836 0.500
As 0.000 0.000 0.000

Compound: ZnCuPd5
Source: Alexandria
Functional: GGA-PBE
Structure: optimized geometry

Output
Its energy above the lowest structure with this stoichiometry is 0.078 eV per atom. For the formation energy, the calculation gives 0.00 eV per atom. The calculation puts the total energy at -62.62 eV per cell. The calculation puts the density of states at the Fermi level at 10.47 states/eV/cell.

Cell lengths 7.592, 7.592, 7.376 Å; angles 48.04, 48.04, 74.75 degrees
Atoms (fractional coordinates):
Pd 0.791 0.445 0.406
Pd 0.324 0.128 0.947
Pd 0.817 0.183 0.250
Pd 0.445 0.791 0.906
Pd 0.872 0.676 0.553
Pd 0.209 0.555 0.594
Pd 0.128 0.324 0.447
Pd 0.183 0.817 0.750
Pd 0.676 0.872 0.053
Pd 0.555 0.209 0.094
Zn 0.000 0.000 0.500
Zn 0.000 0.000 0.000
Cu 0.551 0.449 0.250
Cu 0.449 0.551 0.750

Compound: Pr7In3O2
Source: Alexandria
Functional: GGA-PBE
Structure: optimized geometry

Output
The calculation puts the total energy at -66.06 eV per cell. The calculation puts the density of states at the Fermi level at 6.15 states/eV/cell. The uncorrected formation energy comes out at -1206 meV per atom.

Cell lengths 4.924, 5.069, 12.940 Å; angles 101.30, 90.00, 90.00 degrees
Atoms (fractional coordinates):
In 0.500 0.305 0.610
In 0.500 0.500 0.000
In 0.500 0.695 0.390
O 0.000 0.900 0.799
O 0.000 0.100 0.201
Pr 0.000 0.799 0.597
Pr 0.000 0.000 0.000
Pr 0.000 0.603 0.206
Pr 0.500 0.904 0.808
Pr 0.000 0.397 0.794
Pr 0.500 0.096 0.192
Pr 0.000 0.201 0.403

Compound: KScIn2
Source: Alexandria
Functional: GGA-PBE
Structure: optimized geometry

Output
Its energy above the lowest structure with this stoichiometry is 0.494 eV per atom. For the formation energy, the calculation gives 0.30 eV per atom. The calculation puts the total energy at -23.43 eV per cell. The calculation puts the density of states at the Fermi level at 10.02 states/eV/cell.

Cell lengths 5.489, 5.489, 11.007 Å; angles 75.56, 75.56, 90.00 degrees
Site moments in Bohr magnetons follow the coordinates.
Atoms (fractional coordinates):
In 0.989 0.625 0.250  0.05
In 0.375 0.239 0.750  0.03
In 0.761 0.125 0.250  0.05
In 0.875 0.011 0.750  0.04
K 0.250 0.750 0.500  0.01
K 0.500 0.500 0.000  0.01
Sc 0.000 0.000 0.000  0.35
Sc 0.750 0.250 0.500  0.36

Compound: PmBiSb
Source: Alexandria
Functional: GGA-PBE
Structure: optimized geometry

Output
Its energy above the lowest structure with this stoichiometry is 0.326 eV per atom. The calculation puts the total energy at -13.68 eV per cell. The calculation puts the density of states at the Fermi level at 2.92 states/eV/cell. The uncorrected formation energy comes out at -308 meV per atom.

Cell lengths 5.323, 5.323, 5.323 Å; angles 60.00, 60.00, 60.00 degrees
Atoms (fractional coordinates):
Pm 0.250 0.250 0.250
Sb 0.500 0.500 0.500
Bi 0.000 0.000 0.000

Compound: ZnTeAuN2
Source: Alexandria
Functional: GGA-PBE
Structure: optimized geometry

Output
Its energy above the lowest structure with this stoichiometry is 0.102 eV per atom. The calculation puts the total energy at -16.72 eV per cell. The calculation puts the density of states at the Fermi level at 2.20 states/eV/cell. The uncorrected formation energy comes out at 1525 meV per atom.

Cell lengths 3.970, 3.970, 7.627 Å; angles 90.00, 90.00, 90.00 degrees
Site moments in Bohr magnetons follow the coordinates.
Atoms (fractional coordinates):
Au 0.000 0.000 0.000  0.30
Te 0.000 0.000 0.500  0.05
N 0.500 0.000 0.000  1.02
N 0.000 0.500 0.000  1.02
Zn 0.500 0.500 0.500  0.00